No. 1
First-principles (PBEsol) data for crystalline KCdAs2 at its relaxed geometry, as listed in Alexandria via LeMat-Bulk.

Computed properties:
VASP energy: -2.918 eV/atom
Density of states at the Fermi level: 2.3 states/eV/cell

Cell lengths 5.060, 5.060, 5.060 Å; angles 60.00, 60.00, 60.00 degrees
Atoms (fractional coordinates):
Cd  0.500  0.500  0.500
As  0.000  0.000  0.000
As  0.750  0.750  0.750
K  0.250  0.250  0.250

No. 2
First-principles (PBEsol) data for crystalline CsLaS2 at its relaxed geometry, as listed in Alexandria via LeMat-Bulk.

Computed properties:
VASP energy: -5.386 eV/atom
Formation energy without anion corrections: -1621.6 meV per atom

Cell lengths 4.335, 4.335, 9.483 Å; angles 76.79, 76.79, 60.00 degrees
Atoms (fractional coordinates):
La  0.500  0.500  0.500
S  0.886  0.886  0.343
S  0.114  0.114  0.657
Cs  0.000  0.000  0.000

No. 3
First-principles (PBEsol) data for crystalline Li2CoBr at its relaxed geometry, as listed in Alexandria via LeMat-Bulk.

Computed properties:
VASP energy: -3.369 eV/atom
Density of states at the Fermi level: 2.9 states/eV/cell
Formation energy without anion corrections: 16.4 meV per atom

Cell lengths 3.338, 3.338, 5.577 Å; angles 90.00, 90.00, 90.00 degrees
Each line ends with the local moment (μB).
Atoms (fractional coordinates):
Co  0.500  0.500  0.783  1.85
Li  0.500  0.500  0.260  0.00
Li  0.000  0.000  0.975  -0.01
Br  0.000  0.000  0.482  0.04

No. 4
First-principles (PBEsol) data for crystalline Nb3CrIn at its relaxed geometry, as listed in Alexandria via LeMat-Bulk.

Computed properties:
VASP energy: -8.436 eV/atom
Density of states at the Fermi level: 4.2 states/eV/cell

Cell lengths 4.595, 4.595, 4.595 Å; angles 90.00, 90.00, 90.00 degrees
Atoms (fractional coordinates):
Cr  0.000  0.000  0.000
Nb  0.500  0.000  0.000
Nb  0.000  0.500  0.000
Nb  0.000  0.000  0.500
In  0.500  0.500  0.500

No. 5
First-principles (PBEsol) data for crystalline LiSc2Ta at its relaxed geometry, as listed in Alexandria via LeMat-Bulk.

Computed properties:
Energy above the lowest structure with this stoichiometry: 0 meV per atom
VASP energy: -6.757 eV/atom
Density of states at the Fermi level: 4.8 states/eV/cell

Cell lengths 3.063, 3.063, 10.468 Å; angles 81.59, 81.59, 60.00 degrees
Atoms (fractional coordinates):
Sc  0.244  0.244  0.268
Sc  0.756  0.756  0.732
Ta  0.500  0.500  0.500
Li  0.000  0.000  0.000

No. 6
First-principles (PBEsol) data for crystalline MgIrRu at its relaxed geometry, as listed in Alexandria via LeMat-Bulk.

Computed properties:
Energy above the lowest structure with this stoichiometry: 0 meV per atom
VASP energy: -7.201 eV/atom
Density of states at the Fermi level: 2.4 states/eV/cell

Cell lengths 2.769, 3.865, 4.670 Å; angles 114.44, 107.24, 90.00 degrees
Atoms (fractional coordinates):
Ru  0.338  0.338  0.676
Ir  0.996  0.996  0.992
Mg  0.666  0.666  0.332